Below is an optimized crystal structure of In3HgSe, with properties calculated at the PBE level.

Cell and atoms, written as POSCAR:
```
In3HgSe
1.0
6.108 0.000 0.000
0.000 4.013 0.000
0.000 0.000 23.175
In Hg Se
12 4 4
direct
0.061 0.250 0.155 In
0.184 0.250 0.474 In
0.206 0.250 0.754 In
0.294 0.750 0.254 In
0.316 0.750 0.974 In
0.439 0.750 0.655 In
0.561 0.250 0.345 In
0.684 0.250 0.026 In
0.706 0.250 0.746 In
0.794 0.750 0.246 In
0.816 0.750 0.526 In
0.939 0.750 0.845 In
0.050 0.250 0.345 Hg
0.450 0.750 0.845 Hg
0.550 0.250 0.155 Hg
0.950 0.750 0.655 Hg
0.008 0.750 0.067 Se
0.492 0.250 0.567 Se
0.508 0.750 0.433 Se
0.992 0.250 0.933 Se
```

Calculated values
The value obtained for the energy above the most stable polymorph in this dataset is 0.0000 eV/atom. Its space group is Pnma (62). The value obtained for the density is 7.3 g/cm3. For the total DFT energy (no corrections), the calculation gives -2.543 eV per atom.

Below is an optimized crystal structure of In4HgSe3, with properties calculated at the PBE level.

Cell and atoms, written as POSCAR:
```
In4HgSe3
1.0
9.331 0.000 0.000
0.000 8.196 0.000
0.000 0.000 7.212
In Hg Se
8 2 6
direct
0.000 0.153 0.000 In
0.000 0.817 0.470 In
0.242 0.335 0.466 In
0.258 0.665 0.966 In
0.500 0.183 0.970 In
0.500 0.847 0.500 In
0.742 0.665 0.966 In
0.758 0.335 0.466 In
0.000 0.147 0.402 Hg
0.500 0.853 0.902 Hg
0.000 0.797 0.855 Se
0.246 0.655 0.357 Se
0.254 0.345 0.857 Se
0.500 0.203 0.355 Se
0.746 0.345 0.857 Se
0.754 0.655 0.357 Se
```

Calculated values
The value obtained for the energy above the most stable polymorph in this dataset is 0.0000 eV/atom. Its space group is Pmn2_1 (31). The value obtained for the density is 5.4 g/cm3. For the total DFT energy (no corrections), the calculation gives -3.032 eV per atom.

Below is an optimized crystal structure of InHgSe4, with properties calculated at the PBE level.

Cell and atoms, written as POSCAR:
```
InHgSe4
1.0
0.000 4.192 4.192
4.192 0.000 4.192
4.192 4.192 0.000
In Hg Se
1 1 4
direct
0.000 0.000 0.000 In
0.250 0.250 0.250 Hg
0.134 0.622 0.622 Se
0.622 0.134 0.622 Se
0.622 0.622 0.134 Se
0.622 0.622 0.622 Se
```

Calculated values
Its space group is F-43m (216). The value obtained for the density is 7.1 g/cm3. For the total DFT energy (no corrections), the calculation gives -2.567 eV per atom.

Below is an optimized crystal structure of In2HgSe3, with properties calculated at the PBE level.

Cell and atoms, written as POSCAR:
```
In2HgSe3
1.0
10.661 -2.070 0.000
10.661 2.070 0.000
-0.844 0.000 9.240
In Hg Se
4 2 6
direct
0.045 0.045 0.165 In
0.297 0.297 0.774 In
0.703 0.703 0.226 In
0.955 0.955 0.835 In
0.320 0.320 0.068 Hg
0.680 0.680 0.932 Hg
0.077 0.077 0.898 Se
0.271 0.271 0.331 Se
0.412 0.412 0.670 Se
0.588 0.588 0.330 Se
0.729 0.729 0.669 Se
0.923 0.923 0.102 Se
```

Calculated values
The value obtained for the energy above the most stable polymorph in this dataset is 0.0000 eV/atom. Its space group is C2/m (12). The value obtained for the density is 5.4 g/cm3. For the total DFT energy (no corrections), the calculation gives -3.122 eV per atom.

Below is an optimized crystal structure of InHg2Se, with properties calculated at the PBE level.

Cell and atoms, written as POSCAR:
```
InHg2Se
1.0
3.032 0.000 0.000
0.000 4.172 0.000
-1.311 0.000 8.618
In Hg Se
1 2 1
direct
0.000 0.000 0.000 In
0.674 0.500 0.251 Hg
0.783 0.000 0.518 Hg
0.907 0.500 0.785 Se
```

Calculated values
Its space group is Pm (6). The value obtained for the density is 9.1 g/cm3. For the total DFT energy (no corrections), the calculation gives -1.777 eV per atom.

Below is an optimized crystal structure of InHg2Se, with properties calculated at the PBE level.

Cell and atoms, written as POSCAR:
```
InHg2Se
1.0
-2.653 2.653 3.695
2.653 -2.653 3.695
2.653 2.653 -3.695
In Hg Se
1 2 1
direct
0.000 0.000 0.000 In
0.250 0.750 0.500 Hg
0.500 0.500 0.000 Hg
0.750 0.250 0.500 Se
```

Calculated values
Its space group is I-4m2 (119). The value obtained for the density is 9.5 g/cm3. For the total DFT energy (no corrections), the calculation gives -1.724 eV per atom.

Below is an optimized crystal structure of In2HgSe2, with properties calculated at the PBE level.

Cell and atoms, written as POSCAR:
```
In2HgSe2
1.0
-2.597 2.597 5.136
2.597 -2.597 5.136
2.597 2.597 -5.136
In Hg Se
2 1 2
direct
0.140 0.140 0.000 In
0.860 0.860 0.000 In
0.500 0.500 0.000 Hg
0.250 0.750 0.500 Se
0.750 0.250 0.500 Se
```

Calculated values
The value obtained for the energy above the most stable polymorph in this dataset is 0.0000 eV/atom. Its space group is I4/mmm (139). The value obtained for the density is 7.0 g/cm3. For the total DFT energy (no corrections), the calculation gives -2.850 eV per atom.

Below is an optimized crystal structure of InHg2Se, with properties calculated at the PBE level.

Cell and atoms, written as POSCAR:
```
InHg2Se
1.0
2.961 -5.871 0.000
2.961 5.871 0.000
0.000 0.000 3.014
In Hg Se
1 2 1
direct
0.000 0.000 0.000 In
0.000 0.500 0.500 Hg
0.500 0.000 0.500 Hg
0.500 0.500 0.000 Se
```

Calculated values
Its space group is Cmmm (65). The value obtained for the density is 9.4 g/cm3. For the total DFT energy (no corrections), the calculation gives -1.699 eV per atom.

Below is an optimized crystal structure of In3Hg12Se5, with properties calculated at the PBE level.

Cell and atoms, written as POSCAR:
```
In3Hg12Se5
1.0
-8.416 8.416 8.416
8.416 -8.416 8.416
8.416 8.416 -8.416
In Hg Se
12 48 20
direct
0.125 0.250 0.375 In
0.125 0.375 0.750 In
0.250 0.375 0.125 In
0.250 0.875 0.625 In
0.375 0.125 0.250 In
0.375 0.750 0.125 In
0.625 0.250 0.875 In
0.625 0.875 0.750 In
0.750 0.125 0.375 In
0.750 0.625 0.875 In
0.875 0.625 0.250 In
0.875 0.750 0.625 In
0.059 0.235 0.126 Hg
0.059 0.324 0.932 Hg
0.068 0.626 0.391 Hg
0.068 0.941 0.676 Hg
0.109 0.735 0.676 Hg
0.109 0.874 0.432 Hg
0.126 0.059 0.235 Hg
0.126 0.568 0.891 Hg
0.176 0.235 0.609 Hg
0.176 0.441 0.568 Hg
0.235 0.126 0.059 Hg
0.235 0.609 0.176 Hg
0.265 0.324 0.891 Hg
0.265 0.441 0.374 Hg
0.324 0.891 0.265 Hg
0.324 0.932 0.059 Hg
0.374 0.265 0.441 Hg
0.374 0.609 0.932 Hg
0.391 0.068 0.626 Hg
0.391 0.824 0.765 Hg
0.432 0.109 0.874 Hg
0.432 0.824 0.559 Hg
0.441 0.374 0.265 Hg
0.441 0.568 0.176 Hg
0.559 0.432 0.824 Hg
0.559 0.626 0.735 Hg
0.568 0.176 0.441 Hg
0.568 0.891 0.126 Hg
0.609 0.176 0.235 Hg
0.609 0.932 0.374 Hg
0.626 0.391 0.068 Hg
0.626 0.735 0.559 Hg
0.676 0.068 0.941 Hg
0.676 0.109 0.735 Hg
0.735 0.559 0.626 Hg
0.735 0.676 0.109 Hg
0.765 0.391 0.824 Hg
0.765 0.874 0.941 Hg
0.824 0.559 0.432 Hg
0.824 0.765 0.391 Hg
0.874 0.432 0.109 Hg
0.874 0.941 0.765 Hg
0.891 0.126 0.568 Hg
0.891 0.265 0.324 Hg
0.932 0.059 0.324 Hg
0.932 0.374 0.609 Hg
0.941 0.676 0.068 Hg
0.941 0.765 0.874 Hg
0.000 0.000 0.000 Se
0.000 0.000 0.500 Se
0.000 0.500 0.000 Se
0.000 0.500 0.500 Se
0.125 0.750 0.875 Se
0.125 0.875 0.250 Se
0.250 0.125 0.875 Se
0.250 0.625 0.375 Se
0.375 0.250 0.625 Se
0.375 0.625 0.750 Se
0.500 0.000 0.000 Se
0.500 0.000 0.500 Se
0.500 0.500 0.000 Se
0.500 0.500 0.500 Se
0.625 0.375 0.250 Se
0.625 0.750 0.375 Se
0.750 0.375 0.625 Se
0.750 0.875 0.125 Se
0.875 0.125 0.750 Se
0.875 0.250 0.125 Se
```

Calculated values
Its space group is Ia-3d (230). The value obtained for the density is 8.8 g/cm3. For the total DFT energy (no corrections), the calculation gives -1.472 eV per atom.

Below is an optimized crystal structure of In2HgSe2, with properties calculated at the PBE level.

Cell and atoms, written as POSCAR:
```
In2HgSe2
1.0
8.272 0.000 0.000
0.000 8.272 0.000
0.000 0.000 3.780
In Hg Se
4 2 4
direct
0.150 0.350 0.000 In
0.350 0.850 0.000 In
0.650 0.150 0.000 In
0.850 0.650 0.000 In
0.000 0.000 0.500 Hg
0.500 0.500 0.500 Hg
0.151 0.651 0.500 Se
0.349 0.151 0.500 Se
0.651 0.849 0.500 Se
0.849 0.349 0.500 Se
```

Calculated values
The value obtained for the energy above the most stable polymorph in this dataset is 0.1579 eV/atom. Its space group is P4/mbm (127). The value obtained for the density is 7.6 g/cm3. For the total DFT energy (no corrections), the calculation gives -2.692 eV per atom.

Below is an optimized crystal structure of InHg3Se, with properties calculated at the PBE level.

Cell and atoms, written as POSCAR:
```
InHg3Se
1.0
5.577 0.000 0.000
0.000 5.577 0.000
0.000 0.000 5.577
In Hg Se
1 3 1
direct
0.000 0.000 0.000 In
0.000 0.000 0.500 Hg
0.000 0.500 0.000 Hg
0.500 0.000 0.000 Hg
0.500 0.500 0.500 Se
```

Calculated values
The value obtained for the energy above the most stable polymorph in this dataset is 0.0723 eV/atom. Its space group is Pm-3m (221). The value obtained for the density is 7.6 g/cm3. For the total DFT energy (no corrections), the calculation gives -1.088 eV per atom.

Below is an optimized crystal structure of InHg2Se, with properties calculated at the PBE level.

Cell and atoms, written as POSCAR:
```
InHg2Se
1.0
3.527 -2.031 0.000
3.527 2.031 0.000
-2.346 0.000 7.826
In Hg Se
1 2 1
direct
0.000 0.000 0.000 In
0.510 0.510 0.525 Hg
0.754 0.754 0.260 Hg
0.271 0.271 0.814 Se
```

Calculated values
Its space group is Cm (8). The value obtained for the density is 8.8 g/cm3. For the total DFT energy (no corrections), the calculation gives -1.896 eV per atom.

- Which of these has the highest total DFT energy (no corrections)?
  InHg3Se

- Which value of density does entry 12 give?
  8.8 g/cm3

- total DFT energy (no corrections) of number 7 (In2HgSe2)?
  -2.850 eV per atom